SrSnTe2Ru | PBE | relaxed

a b c (Å): 5.201 5.201 5.551
angles (deg): 90.00 90.00 90.00
Positions (direct):
Sr1 0.000 0.000 0.000
Sn1 0.500 0.500 0.000
Te1 0.000 0.500 0.500
Te2 0.500 0.000 0.500
Ru1 0.000 0.000 0.500

**E_form (uncorrected)**: 12 meV/atom
**Theoretical density**: 6.2 g/cm³
**E_tot**: -21.2 eV per cell


InCoW2 | PBE | relaxed

a b c (Å): 2.804 2.804 8.026
angles (deg): 90.00 90.00 90.00
Positions (direct):
In1 0.000 0.000 0.000
Co1 0.500 0.500 0.760
W1 0.000 0.000 0.560
W2 0.500 0.500 0.288

**Theoretical density**: 14.2 g/cm³
**E_tot**: -34.6 eV per cell
**ΔE_f**: 295 meV/atom


SnI2N | PBE | relaxed

a b c (Å): 7.440 7.440 7.440
angles (deg): 126.45 126.45 79.16
Positions (direct):
Sn1 0.000 0.000 0.000
Sn2 0.750 0.250 0.500
I1 0.321 0.625 0.196
I2 0.375 0.571 0.696
I3 0.429 0.125 0.804
I4 0.875 0.679 0.304
N1 0.250 0.750 0.500
N2 0.500 0.500 0.000

**E_form (uncorrected)**: 995 meV/atom
**Theoretical density**: 5.0 g/cm³
**E_tot**: -22.9 eV per cell


MgMo2 | PBE | relaxed

a b c (Å): 5.331 5.331 5.331
angles (deg): 60.00 60.00 60.00
Positions (direct):
Mg1 0.125 0.125 0.125
Mg2 0.875 0.875 0.875
Mo1 0.000 0.500 0.500
Mo2 0.500 0.000 0.500
Mo3 0.500 0.500 0.000
Mo4 0.500 0.500 0.500

**Theoretical density**: 6.7 g/cm³
**E_tot**: -44.3 eV per cell
**ΔE_f**: 374 meV/atom


Pm2Nd5Er5 | PBE | relaxed

a b c (Å): 8.056 8.056 11.426
angles (deg): 115.16 115.16 36.75
Positions (direct):
Pm1 0.083 0.083 0.252
Pm2 0.917 0.917 0.748
Nd1 0.000 0.000 0.500
Nd2 0.165 0.165 0.999
Nd3 0.249 0.249 0.747
Nd4 0.751 0.751 0.253
Nd5 0.835 0.835 0.001
Er1 0.333 0.333 0.499
Er2 0.418 0.418 0.251
Er3 0.500 0.500 0.000
Er4 0.582 0.582 0.749
Er5 0.667 0.667 0.501

**Theoretical density**: 7.7 g/cm³
**E_tot**: -55.9 eV per cell
**ΔE_f**: 18 meV/atom


Co2P | PBE | relaxed

a b c (Å): 5.512 3.509 6.593
angles (deg): 90.00 90.00 90.00
Positions (direct):
Co1 0.032 0.250 0.168
Co2 0.144 0.250 0.565
Co3 0.356 0.750 0.065
Co4 0.468 0.750 0.668
Co5 0.532 0.250 0.332
Co6 0.644 0.250 0.935
Co7 0.856 0.750 0.435
Co8 0.968 0.750 0.832
P1 0.249 0.750 0.379
P2 0.251 0.250 0.879
P3 0.749 0.750 0.121
P4 0.751 0.250 0.621

**Theoretical density**: 7.8 g/cm³
**E_tot**: -84.8 eV per cell
**ΔE_f**: -523 meV/atom


TbSm2TlO | PBE | relaxed

a b c (Å): 4.923 4.923 4.798
angles (deg): 90.00 90.00 90.00
Positions (direct):
Tb1 0.000 0.000 0.000
Sm1 0.000 0.500 0.500
Sm2 0.500 0.000 0.500
Tl1 0.500 0.500 0.000
O1 0.000 0.000 0.500

**E_form (uncorrected)**: -1361 meV/atom
**Theoretical density**: 9.7 g/cm³
**E_tot**: -28.2 eV per cell


Ca3Zn2Ag6 | PBE | relaxed

a b c (Å): 8.594 8.594 8.594
angles (deg): 109.47 109.47 109.47
Positions (direct):
Ca1 0.000 0.285 0.285
Ca2 0.000 0.715 0.715
Ca3 0.285 0.000 0.285
Ca4 0.285 0.285 0.000
Ca5 0.715 0.000 0.715
Ca6 0.715 0.715 0.000
Zn1 0.000 0.000 0.500
Zn2 0.000 0.500 0.000
Zn3 0.500 0.000 0.000
Zn4 0.500 0.500 0.500
Ag1 0.000 0.329 0.671
Ag2 0.000 0.671 0.329
Ag3 0.329 0.000 0.671
Ag4 0.329 0.329 0.658
Ag5 0.329 0.658 0.329
Ag6 0.329 0.671 0.000
Ag7 0.342 0.671 0.671
Ag8 0.658 0.329 0.329
Ag9 0.671 0.000 0.329
Ag10 0.671 0.329 0.000
Ag11 0.671 0.342 0.671
Ag12 0.671 0.671 0.342

**Theoretical density**: 6.1 g/cm³
**E_tot**: -56.7 eV per cell
**ΔE_f**: -245 meV/atom


Pr2BiSb | PBE | relaxed

a b c (Å): 10.276 10.276 7.966
angles (deg): 104.98 104.98 126.78
Positions (direct):
Pr1 0.060 0.435 0.746
Pr2 0.180 0.305 0.246
Pr3 0.305 0.180 0.746
Pr4 0.435 0.060 0.246
Pr5 0.565 0.940 0.754
Pr6 0.695 0.820 0.254
Pr7 0.820 0.695 0.754
Pr8 0.940 0.565 0.254
Bi1 0.313 0.687 0.250
Bi2 0.438 0.562 0.750
Bi3 0.562 0.438 0.250
Bi4 0.687 0.313 0.750
Sb1 0.063 0.937 0.250
Sb2 0.188 0.812 0.750
Sb3 0.812 0.188 0.250
Sb4 0.937 0.063 0.750

**E_form (uncorrected)**: -1077 meV/atom
**Theoretical density**: 7.4 g/cm³
**E_tot**: -87.5 eV per cell


LaTcSb2 | PBE | relaxed

a b c (Å): 4.179 5.088 5.197
angles (deg): 90.00 91.19 90.00
Positions (direct):
La1 0.000 0.000 0.000
Tc1 0.464 0.500 0.292
Sb1 0.485 0.500 0.804
Sb2 0.519 0.000 0.477

**E_form (uncorrected)**: -104 meV/atom
**Theoretical density**: 7.2 g/cm³
**E_tot**: -24.0 eV per cell


LiY2MnRe | PBE | relaxed

a b c (Å): 5.097 5.097 4.312
angles (deg): 90.00 90.00 90.00
Positions (direct):
Li1 0.000 0.000 0.000
Y1 0.000 0.500 0.500
Y2 0.500 0.000 0.500
Mn1 0.000 0.000 0.500
Re1 0.500 0.500 0.000

**Theoretical density**: 6.3 g/cm³
**E_tot**: -31.0 eV per cell
**ΔE_f**: 1101 meV/atom


Tl2ReSi | PBE | relaxed

a b c (Å): 10.751 10.751 10.751
angles (deg): 16.17 16.17 16.17
Positions (direct):
Tl1 0.244 0.244 0.244
Tl2 0.756 0.756 0.756
Re1 0.500 0.500 0.500
Si1 0.000 0.000 0.000

**E_form (uncorrected)**: 1029 meV/atom
**Theoretical density**: 12.3 g/cm³
**E_tot**: -18.5 eV per cell


VPHRuS | PBE | relaxed

a b c (Å): 4.240 4.240 5.713
angles (deg): 113.07 113.07 41.38
Positions (direct):
V1 0.000 0.000 0.000
P1 0.012 0.012 0.575
H1 0.377 0.377 0.849
Ru1 0.684 0.684 0.446
S1 0.726 0.726 0.065

**Theoretical density**: 5.8 g/cm³
**E_tot**: -33.0 eV per cell


Cs2CeCu3Cl12 | PBE | relaxed

a b c (Å): 10.165 10.165 10.165
angles (deg): 49.55 49.55 49.55
Positions (direct):
Cs1 0.112 0.112 0.112
Cs2 0.888 0.888 0.888
Ce1 0.500 0.500 0.500
Cu1 0.000 0.500 0.500
Cu2 0.500 0.000 0.500
Cu3 0.500 0.500 0.000
Cl1 0.145 0.598 0.598
Cl2 0.189 0.189 0.590
Cl3 0.189 0.590 0.189
Cl4 0.402 0.402 0.855
Cl5 0.402 0.855 0.402
Cl6 0.410 0.811 0.811
Cl7 0.590 0.189 0.189
Cl8 0.598 0.145 0.598
Cl9 0.598 0.598 0.145
Cl10 0.811 0.410 0.811
Cl11 0.811 0.811 0.410
Cl12 0.855 0.402 0.402

**E_form (uncorrected)**: -1232 meV/atom
**Theoretical density**: 3.0 g/cm³
**E_tot**: -64.3 eV per cell


Tl6GeAu4 | PBE | relaxed

a b c (Å): 9.683 9.683 7.354
angles (deg): 90.00 90.00 120.00
Positions (direct):
Tl1 0.065 0.533 0.000
Tl2 0.132 0.265 0.324
Tl3 0.132 0.868 0.324
Tl4 0.265 0.132 0.824
Tl5 0.467 0.533 0.000
Tl6 0.467 0.935 0.000
Tl7 0.533 0.065 0.500
Tl8 0.533 0.467 0.500
Tl9 0.735 0.868 0.324
Tl10 0.868 0.132 0.824
Tl11 0.868 0.735 0.824
Tl12 0.935 0.467 0.500
Ge1 0.333 0.667 0.604
Ge2 0.667 0.333 0.104
Au1 0.188 0.376 0.715
Au2 0.188 0.812 0.715
Au3 0.333 0.667 0.265
Au4 0.376 0.188 0.215
Au5 0.624 0.812 0.715
Au6 0.667 0.333 0.765
Au7 0.812 0.188 0.215
Au8 0.812 0.624 0.215

**Theoretical density**: 11.6 g/cm³
**E_tot**: -64.4 eV per cell
**ΔE_f**: -24 meV/atom


Tc2As2Pt | PBE | relaxed

a b c (Å): 5.544 5.544 5.544
angles (deg): 134.79 134.79 65.86
Positions (direct):
Tc1 0.250 0.750 0.500
Tc2 0.750 0.250 0.500
As1 0.125 0.125 0.000
As2 0.875 0.875 0.000
Pt1 0.500 0.500 0.000

**Theoretical density**: 10.6 g/cm³
**E_tot**: -35.4 eV per cell
**ΔE_f**: 132 meV/atom


Sb3PtW | PBE | relaxed

a b c (Å): 5.157 5.157 5.157
angles (deg): 90.00 90.00 90.00
Positions (direct):
Sb1 0.000 0.000 0.500
Sb2 0.000 0.500 0.000
Sb3 0.500 0.000 0.000
Pt1 0.500 0.500 0.500
W1 0.000 0.000 0.000

**E_form (uncorrected)**: 862 meV/atom
**Theoretical density**: 9.0 g/cm³
**E_tot**: -27.1 eV per cell


TbMgAl | PBE | relaxed

a b c (Å): 6.644 6.644 6.644
angles (deg): 150.68 150.68 41.94
Positions (direct):
Tb1 0.000 0.000 0.000
Mg1 0.698 0.698 0.000
Al1 0.340 0.340 0.000

**Theoretical density**: 5.0 g/cm³
**E_tot**: -10.5 eV per cell
**ΔE_f**: -173 meV/atom


Ca2Zn2Pd5Pt | PBE | relaxed

a b c (Å): 9.680 9.680 3.777
angles (deg): 90.00 90.00 90.00
Positions (direct):
Ca1 0.178 0.322 0.000
Ca2 0.322 0.822 0.000
Ca3 0.678 0.178 0.000
Ca4 0.822 0.678 0.000
Zn1 0.122 0.622 0.000
Zn2 0.378 0.122 0.000
Zn3 0.622 0.878 0.000
Zn4 0.878 0.378 0.000
Pd1 0.000 0.500 0.500
Pd2 0.064 0.794 0.500
Pd3 0.206 0.064 0.500
Pd4 0.294 0.564 0.500
Pd5 0.436 0.294 0.500
Pd6 0.500 0.000 0.500
Pd7 0.564 0.706 0.500
Pd8 0.706 0.436 0.500
Pd9 0.794 0.936 0.500
Pd10 0.936 0.206 0.500
Pt1 0.000 0.000 0.000
Pt2 0.500 0.500 0.000

**Theoretical density**: 8.8 g/cm³
**E_tot**: -87.9 eV per cell
**ΔE_f**: -541 meV/atom


Si2TcAu | PBE | relaxed

a b c (Å): 8.238 8.238 8.238
angles (deg): 20.66 20.66 20.66
Positions (direct):
Si1 0.242 0.242 0.242
Si2 0.758 0.758 0.758
Tc1 0.500 0.500 0.500
Au1 0.000 0.000 0.000

**E_form (uncorrected)**: -31 meV/atom
**Theoretical density**: 9.6 g/cm³
**E_tot**: -24.6 eV per cell


Mg2IrPt | PBE | relaxed

a b c (Å): 5.037 5.037 5.037
angles (deg): 134.55 134.55 66.23
Positions (direct):
Mg1 0.000 0.000 0.000
Mg2 0.750 0.250 0.500
Ir1 0.500 0.500 0.000
Pt1 0.250 0.750 0.500

**Theoretical density**: 11.3 g/cm³
**E_tot**: -19.7 eV per cell
**ΔE_f**: -400 meV/atom


ScAgSb2 | PBE | relaxed

a b c (Å): 3.468 3.468 8.070
angles (deg): 90.00 90.00 101.25
Positions (direct):
Sc1 0.000 0.000 0.000
Ag1 0.000 0.000 0.500
Sb1 0.500 0.500 0.245
Sb2 0.500 0.500 0.755

**E_form (uncorrected)**: -225 meV/atom
**Theoretical density**: 6.9 g/cm³
**E_tot**: -18.3 eV per cell


Ac2Zn7Sn | PBE | relaxed

a b c (Å): 4.504 4.504 10.788
angles (deg): 90.00 90.00 90.00
Positions (direct):
Ac1 0.000 0.500 0.237
Ac2 0.500 0.000 0.763
Zn1 0.000 0.000 0.000
Zn2 0.000 0.500 0.646
Zn3 0.000 0.500 0.880
Zn4 0.500 0.000 0.120
Zn5 0.500 0.000 0.354
Zn6 0.500 0.500 0.000
Zn7 0.500 0.500 0.500
Sn1 0.000 0.000 0.500

**Theoretical density**: 7.8 g/cm³
**E_tot**: -24.6 eV per cell
**ΔE_f**: -342 meV/atom


LiBiH | PBE | relaxed

a b c (Å): 3.610 3.610 4.595
angles (deg): 90.00 90.00 120.00
Positions (direct):
Li1 0.000 0.000 0.000
Bi1 0.667 0.333 0.522
H1 0.333 0.667 0.794

**Theoretical density**: 6.9 g/cm³
**E_tot**: -8.8 eV per cell


Number 1: calculated volume 30.0 A^3/atom. Number 2: calculated volume 15.8 A^3/atom. Number 3: calculated volume 32.2 A^3/atom. Number 4: calculated volume 17.9 A^3/atom. Number 5: calculated volume 33.1 A^3/atom. Number 6: calculated volume 10.6 A^3/atom. Number 7: calculated volume 23.3 A^3/atom. Number 8: calculated volume 22.2 A^3/atom. Number 9: calculated volume 34.4 A^3/atom. Number 10: calculated volume 27.6 A^3/atom. Number 11: calculated volume 22.4 A^3/atom. Number 12: calculated volume 21.0 A^3/atom. Number 13: calculated volume 12.3 A^3/atom. Number 14: calculated volume 31.1 A^3/atom. Number 15: calculated volume 27.1 A^3/atom. Number 16: calculated volume 16.9 A^3/atom. Number 17: calculated volume 27.4 A^3/atom. Number 18: calculated volume 23.4 A^3/atom. Number 19: calculated volume 17.7 A^3/atom. Number 20: calculated volume 15.2 A^3/atom. Number 21: calculated volume 16.0 A^3/atom. Number 22: calculated volume 23.8 A^3/atom. Number 23: calculated volume 21.9 A^3/atom. Number 24: calculated volume 17.3 A^3/atom.